Record 1
A geometry-optimized Y3PbO structure, computed with PBE.

Cell: 3.7951 3.7951 21.0828 Å, 90.00 90.00 120.00°
Space group P6_3/mmc (No. 194)
One atom of each set of equivalent atoms:
Y 0.0000 0.0000 0.2500 x2
Y 0.3333 0.6667 0.1188 x4
Pb 0.0000 0.0000 0.0000 x2
O 0.3333 0.6667 0.2500 x2

* crystal system: hexagonal
* magnetic moment: 0.00 μB per atom
* formation energy without anion corrections: -1.241 eV/atom

Record 2
A geometry-optimized Li2MgCu8 structure, computed with PBE.

Cell: 3.9308 6.3222 11.4642 Å, 90.00 90.00 90.00°
Space group Immm (No. 71)
One atom of each set of equivalent atoms:
Li 0.0000 0.0000 0.1999 x4
Mg 0.0000 0.0000 0.5000 x2
Cu 0.0000 0.2002 0.0000 x4
Cu 0.0000 0.2923 0.3454 x8
Cu 0.0000 0.5000 0.1563 x4

* formation energy from the elements: 57 meV/atom
* crystal system: orthorhombic
* magnetic moment: 0.00 μB per atom

Record 3
A geometry-optimized GaBi2CN structure, computed with PBE.

Cell: 5.0165 5.0165 3.9639 Å, 90.00 90.00 90.00°
Space group P4/mmm (No. 123)
One atom of each set of equivalent atoms:
Ga 0.0000 0.0000 0.0000 x1
Bi 0.0000 0.5000 0.5000 x2
C 0.5000 0.5000 0.0000 x1
N 0.0000 0.0000 0.5000 x1

* crystal system: tetragonal
* magnetic moment: 0.00 μB per atom
* formation energy without anion corrections: 1.437 eV/atom

Record 4
A geometry-optimized ZnIF3 structure, computed with PBE.

Cell: 4.2375 4.2375 4.2375 Å, 90.00 90.00 90.00°
Space group Pm-3m (No. 221)
One atom of each set of equivalent atoms:
Zn 0.0000 0.0000 0.0000 x1
I 0.5000 0.5000 0.5000 x1
F 0.0000 0.0000 0.5000 x3

* E above lowest polymorph: 0 meV/atom
* crystal system: cubic
* magnetic moment: 0.40 μB per atom
* formation energy without anion corrections: -1.313 eV/atom

Record 5
A geometry-optimized MnOsPt structure, computed with PBE.

Cell: 2.7053 2.7053 6.5575 Å, 90.00 90.00 120.00°
Space group P3m1 (No. 156)
One atom of each set of equivalent atoms:
Mn 0.0000 0.0000 0.0000 x1
Os 0.6667 0.3333 0.3016 x1
Pt 0.3333 0.6667 0.6687 x1

* formation energy from the elements: 40 meV/atom
* E above lowest polymorph: 54 meV/atom
* crystal system: trigonal
* magnetic moment: 0.33 μB per atom

Record 6
A geometry-optimized YPbSe2 structure, computed with PBE.

Cell: 7.4082 7.4082 7.4082 Å, 90.00 90.00 90.00°
Space group F-43m (No. 216)
One atom of each set of equivalent atoms:
Y 0.0000 0.0000 0.0000 x4
Pb 0.2500 0.2500 0.7500 x4
Se 0.0000 0.0000 0.5000 x4
Se 0.2500 0.2500 0.2500 x4

* crystal system: cubic
* magnetic moment: 0.00 μB per atom
* formation energy without anion corrections: -0.316 eV/atom

Record 7
A geometry-optimized KMgAl structure, computed with PBE.

Cell: 7.7786 7.7786 7.7786 Å, 90.00 90.00 90.00°
Space group F-43m (No. 216)
One atom of each set of equivalent atoms:
K 0.0000 0.0000 0.0000 x4
Mg 0.2500 0.2500 0.2500 x4
Al 0.2500 0.2500 0.7500 x4

* formation energy from the elements: 839 meV/atom
* E above lowest polymorph: 732 meV/atom
* crystal system: cubic
* magnetic moment: 0.00 μB per atom

Record 8
A geometry-optimized RuPt3Au structure, computed with PBE.

Cell: 4.7789 4.7789 4.7789 Å, 90.00 90.00 90.00°
Space group Pm-3m (No. 221)
One atom of each set of equivalent atoms:
Ru 0.0000 0.0000 0.0000 x1
Pt 0.0000 0.0000 0.5000 x3
Au 0.5000 0.5000 0.5000 x1

* formation energy from the elements: 1378 meV/atom
* E above lowest polymorph: 0 meV/atom
* crystal system: cubic
* magnetic moment: 0.00 μB per atom

no.,energy (eV for the cell shown),density of states at the Fermi level (states/eV/atom)
1,-68.531,0.8445
2,-75.125,0.2796
3,-21.153,0.3385
4,-15.001,0.4254
5,-26.320,0.9841
6,-73.624,0.8771
7,-15.666,0.9432
8,-23.788,1.7322